Material: Ag3Hg2Br3O2
Method: DFT, PBE
State: optimized geometry

Values from the calculation:
- total energy (eV per atom) = -2.6129
- formation energy from raw total energies (eV/f.u.) = -2.04
- volume (Å³ per atom) = 22.668
- density (g cm⁻³) = 7.300

Cell and atoms, written as extended XYZ:
```
10
Lattice="4.450 0.000 0.000 0.000 4.450 0.000 -2.225 -2.225 11.447" Properties=species:S:1:pos:R:3 pbc="T T T"
O 2.225 2.225 6.502
Br 2.225 2.225 2.707
Hg 2.225 0.000 5.724
Ag 0.000 0.000 2.666
O 0.000 0.000 4.945
Br 0.000 0.000 0.000
Ag 2.225 2.225 0.000
Ag 2.225 2.225 8.782
Br 0.000 0.000 8.740
Hg 0.000 2.225 5.724
```

Material: YEr2NbN4
Method: DFT, PBE
State: optimized geometry

Values from the calculation:
- total energy (eV per atom) = -8.9147
- formation energy from raw total energies (eV/f.u.) = -12.36
- volume (Å³ per atom) = 13.257
- density (g cm⁻³) = 8.962

Cell and atoms, written as extended XYZ:
```
8
Lattice="-2.322 0.675 2.301 -2.950 -4.737 -1.587 3.746 -1.410 4.194" Properties=species:S:1:pos:R:3 pbc="T T T"
N -0.963 -1.114 1.776
Nb 0.000 0.000 0.000
N -0.563 -4.358 3.132
Er 0.712 -0.367 3.247
Er 0.398 -3.073 1.303
N -1.341 -3.956 -0.193
Y -2.636 -2.031 0.357
N 2.137 -2.191 2.799
```

Material: La8Rh3Br4N
Method: DFT, PBE
State: optimized geometry

Values from the calculation:
- total energy (eV per atom) = -5.9693
- formation energy from raw total energies (eV/f.u.) = -19.02
- volume (Å³ per atom) = 28.659
- density (g cm⁻³) = 6.350

Cell and atoms, written as extended XYZ:
```
16
Lattice="8.053 0.000 0.000 0.000 9.233 0.623 -4.027 -4.138 5.888" Properties=species:S:1:pos:R:3 pbc="T T T"
Rh 4.027 4.616 0.312
Br 0.000 0.000 0.000
La 2.198 2.297 6.204
Rh -2.013 2.548 3.255
Rh 2.013 2.548 3.255
La 0.000 0.588 3.295
Br 4.027 0.000 0.000
Br 2.013 -2.069 2.944
La 1.829 2.798 0.306
La 4.027 4.507 3.215
La 0.000 4.513 3.154
N 0.000 4.616 0.312
La 4.027 0.582 3.357
Br -2.013 -2.069 2.944
La -2.198 2.297 6.204
La 6.224 2.798 0.306
```

volume of number 3 (La8Rh3Br4N)?
28.659 Å³ per atom